--- one ---
Compound: NiTe2Pt
Source: Alexandria
Functional: PBE
Structure: optimized geometry

Lattice parameters (Å, degrees): 5.9770 7.5047 3.7934 90.00 90.00 90.00
Closest atoms and distances in Å follow each position.
Fractional positions:
Ni (0.0000, 0.0000, 0.0000)  4 Te 2.63
Ni (0.5000, 0.5000, 0.0000)  4 Te 2.63
Te (0.0000, 0.2424, 0.5000)  2 Ni 2.63, 2 Pt 2.71
Te (0.0000, 0.7576, 0.5000)  2 Ni 2.63, 2 Pt 2.71
Te (0.5000, 0.2576, 0.5000)  2 Ni 2.63, 2 Pt 2.71
Te (0.5000, 0.7424, 0.5000)  2 Ni 2.63, 2 Pt 2.71
Pt (0.0000, 0.5000, 0.0000)  4 Te 2.71, 2 Ni 2.99
Pt (0.5000, 0.0000, 0.0000)  4 Te 2.71, 2 Ni 2.99

Properties
Space group: No. 65
Calculated density: 9.9 g cm⁻³

---

--- two ---
Compound: NiTe2Pt
Source: Alexandria
Functional: PBE
Structure: optimized geometry

Lattice parameters (Å, degrees): 6.3363 6.9531 3.5170 90.00 90.13 90.00
Closest atoms and distances in Å follow each position.
Fractional positions:
Ni (0.0000, 0.0000, 0.0000)  8 Te 2.93-2.94, 2 Pt 3.17
Ni (0.5000, 0.5000, 0.0000)  8 Te 2.93-2.94, 2 Pt 3.17
Te (0.2500, 0.2500, 0.5000)  4 Ni 2.93-2.94, 4 Pt 2.93-2.94, 2 Te 3.17
Te (0.2500, 0.7500, 0.5000)  4 Ni 2.93-2.94, 4 Pt 2.93-2.94, 2 Te 3.17
Te (0.7500, 0.2500, 0.5000)  4 Ni 2.93-2.94, 4 Pt 2.93-2.94, 2 Te 3.17
Te (0.7500, 0.7500, 0.5000)  4 Ni 2.93-2.94, 4 Pt 2.93-2.94, 2 Te 3.17
Pt (0.0000, 0.5000, 0.0000)  8 Te 2.93-2.94, 2 Ni 3.17
Pt (0.5000, 0.0000, 0.0000)  8 Te 2.93-2.94, 2 Ni 3.17

Properties
Space group: No. 12
Calculated density: 10.9 g cm⁻³

---

--- three ---
Compound: NiTe2Pt
Source: Alexandria
Functional: PBE
Structure: optimized geometry

Lattice parameters (Å, degrees): 5.4366 11.9620 5.5595 90.00 90.00 90.00
Closest atoms and distances in Å follow each position.
Fractional positions:
Ni (0.0000, 0.0000, 0.2500)  4 Te 2.54, 2 Pt 2.72, 2 Ni 2.78
Ni (0.0000, 0.0000, 0.7500)  4 Te 2.54, 2 Pt 2.72, 2 Ni 2.78
Ni (0.5000, 0.5000, 0.2500)  4 Te 2.54, 2 Pt 2.72, 2 Ni 2.78
Ni (0.5000, 0.5000, 0.7500)  4 Te 2.54, 2 Pt 2.72, 2 Ni 2.78
Te (0.2207, 0.1470, 0.0000)  2 Ni 2.54, 2 Pt 2.71
Te (0.2207, 0.8530, 0.5000)  2 Ni 2.54, 2 Pt 2.71
Te (0.2793, 0.3530, 0.5000)  2 Ni 2.54, 2 Pt 2.71
Te (0.2793, 0.6470, 0.0000)  2 Ni 2.54, 2 Pt 2.71
Te (0.7207, 0.3530, 0.0000)  2 Ni 2.54, 2 Pt 2.71
Te (0.7207, 0.6470, 0.5000)  2 Ni 2.54, 2 Pt 2.71
Te (0.7793, 0.1470, 0.5000)  2 Ni 2.54, 2 Pt 2.71
Te (0.7793, 0.8530, 0.0000)  2 Ni 2.54, 2 Pt 2.71
Pt (0.0000, 0.5000, 0.2500)  4 Te 2.71, 2 Ni 2.72, 2 Pt 2.78
Pt (0.0000, 0.5000, 0.7500)  4 Te 2.71, 2 Ni 2.72, 2 Pt 2.78
Pt (0.5000, 0.0000, 0.2500)  4 Te 2.71, 2 Ni 2.72, 2 Pt 2.78
Pt (0.5000, 0.0000, 0.7500)  4 Te 2.71, 2 Ni 2.72, 2 Pt 2.78

Properties
Space group: No. 72
Calculated density: 9.4 g cm⁻³

---

--- four ---
Compound: NiTe2Pt
Source: Alexandria
Functional: PBE
Structure: optimized geometry

Lattice parameters (Å, degrees): 6.7413 3.8798 6.5847 90.00 109.60 90.00
Closest atoms and distances in Å follow each position.
Fractional positions:
Ni (0.0000, 0.0000, 0.0000)  6 Te 2.67-2.68
Ni (0.5000, 0.5000, 0.0000)  6 Te 2.67-2.68
Te (0.2454, 0.5000, 0.2350)  3 Ni 2.67-2.68, 3 Pt 2.78
Te (0.2546, 0.0000, 0.7650)  3 Ni 2.67-2.68, 3 Pt 2.78
Te (0.7454, 0.0000, 0.2350)  3 Ni 2.67-2.68, 3 Pt 2.78
Te (0.7546, 0.5000, 0.7650)  3 Ni 2.67-2.68, 3 Pt 2.78
Pt (0.0000, 0.5000, 0.5000)  6 Te 2.78
Pt (0.5000, 0.0000, 0.5000)  6 Te 2.78

Properties
Space group: No. 12
Calculated density: 10.4 g cm⁻³

---

Stability summary - winner: three; margin: 71 meV per atom.

---

--- one ---
Compound: NiTePt2
Source: Alexandria
Functional: PBE
Structure: optimized geometry

Lattice parameters (Å, degrees): 6.4069 6.4069 6.4069 90.00 90.00 90.00
Closest atoms and distances in Å follow each position.
Fractional positions:
Ni (0.0000, 0.0000, 0.0000)  4 Te 2.77, 4 Pt 2.77
Ni (0.0000, 0.5000, 0.5000)  4 Te 2.77, 4 Pt 2.77
Ni (0.5000, 0.0000, 0.5000)  4 Te 2.77, 4 Pt 2.77
Ni (0.5000, 0.5000, 0.0000)  4 Te 2.77, 4 Pt 2.77
Te (0.2500, 0.2500, 0.2500)  4 Ni 2.77, 4 Pt 2.77
Te (0.2500, 0.7500, 0.7500)  4 Ni 2.77, 4 Pt 2.77
Te (0.7500, 0.2500, 0.7500)  4 Ni 2.77, 4 Pt 2.77
Te (0.7500, 0.7500, 0.2500)  4 Ni 2.77, 4 Pt 2.77
Pt (0.0000, 0.0000, 0.5000)  4 Te 2.77, 4 Pt 2.77
Pt (0.0000, 0.5000, 0.0000)  4 Te 2.77, 4 Pt 2.77
Pt (0.2500, 0.2500, 0.7500)  4 Ni 2.77, 4 Pt 2.77
Pt (0.2500, 0.7500, 0.2500)  4 Ni 2.77, 4 Pt 2.77
Pt (0.5000, 0.0000, 0.0000)  4 Te 2.77, 4 Pt 2.77
Pt (0.5000, 0.5000, 0.5000)  4 Te 2.77, 4 Pt 2.77
Pt (0.7500, 0.2500, 0.2500)  4 Ni 2.77, 4 Pt 2.77
Pt (0.7500, 0.7500, 0.7500)  4 Ni 2.77, 4 Pt 2.77

Properties
Space group: No. 216
Calculated density: 14.6 g cm⁻³

---

--- two ---
Compound: NiTePt2
Source: Alexandria
Functional: PBE
Structure: optimized geometry

Lattice parameters (Å, degrees): 3.8544 3.8544 18.6508 90.00 90.00 90.00
Closest atoms and distances in Å follow each position.
Fractional positions:
Ni (0.0000, 0.0000, 0.0000)  4 Pt 2.69, 4 Te 2.73
Ni (0.0000, 0.5000, 0.2500)  4 Pt 2.69, 4 Te 2.73
Ni (0.5000, 0.0000, 0.7500)  4 Pt 2.69, 4 Te 2.73
Ni (0.5000, 0.5000, 0.5000)  4 Pt 2.69, 4 Te 2.73
Te (0.0000, 0.0000, 0.5000)  4 Pt 2.72, 4 Ni 2.73
Te (0.0000, 0.5000, 0.7500)  4 Pt 2.72, 4 Ni 2.73
Te (0.5000, 0.0000, 0.2500)  4 Pt 2.72, 4 Ni 2.73
Te (0.5000, 0.5000, 0.0000)  4 Pt 2.72, 4 Ni 2.73
Pt (0.2392, 0.2500, 0.1250)  4 Pt 2.67-2.78, 2 Ni 2.69, 2 Te 2.72
Pt (0.2500, 0.7392, 0.3750)  4 Pt 2.67-2.78, 2 Ni 2.69, 2 Te 2.72
Pt (0.2500, 0.7608, 0.8750)  4 Pt 2.67-2.78, 2 Ni 2.69, 2 Te 2.72
Pt (0.2608, 0.2500, 0.6250)  4 Pt 2.67-2.78, 2 Ni 2.69, 2 Te 2.72
Pt (0.7392, 0.7500, 0.6250)  4 Pt 2.67-2.78, 2 Ni 2.69, 2 Te 2.72
Pt (0.7500, 0.2392, 0.8750)  4 Pt 2.67-2.78, 2 Ni 2.69, 2 Te 2.72
Pt (0.7500, 0.2608, 0.3750)  4 Pt 2.67-2.78, 2 Ni 2.69, 2 Te 2.72
Pt (0.7608, 0.7500, 0.1250)  4 Pt 2.67-2.78, 2 Ni 2.69, 2 Te 2.72

Properties
Space group: No. 122
Calculated density: 13.8 g cm⁻³

---

--- three ---
Compound: NiTePt2
Source: Alexandria
Functional: PBE
Structure: optimized geometry

Lattice parameters (Å, degrees): 5.3878 5.6654 4.5266 90.00 90.00 90.00
Closest atoms and distances in Å follow each position.
Fractional positions:
Ni (0.0000, 0.0000, 0.0000)  4 Pt 2.63, 4 Te 2.69-2.83
Ni (0.5000, 0.5000, 0.0000)  4 Pt 2.63, 4 Te 2.69-2.83
Te (0.0000, 0.5000, 0.0000)  4 Ni 2.69-2.83, 4 Pt 2.72
Te (0.5000, 0.0000, 0.0000)  4 Ni 2.69-2.83, 4 Pt 2.72
Pt (0.0000, 0.2351, 0.5000)  2 Ni 2.63, 3 Pt 2.66-2.70, 2 Te 2.72
Pt (0.0000, 0.7649, 0.5000)  2 Ni 2.63, 3 Pt 2.66-2.70, 2 Te 2.72
Pt (0.5000, 0.2649, 0.5000)  2 Ni 2.63, 3 Pt 2.66-2.70, 2 Te 2.72
Pt (0.5000, 0.7351, 0.5000)  2 Ni 2.63, 3 Pt 2.66-2.70, 2 Te 2.72

Properties
Space group: No. 65
Calculated density: 13.9 g cm⁻³

---

--- four ---
Compound: NiTePt2
Source: Alexandria
Functional: PBE
Structure: optimized geometry

Lattice parameters (Å, degrees): 3.9302 3.9302 15.9045 90.00 90.00 120.00
Closest atoms and distances in Å follow each position.
Fractional positions:
Ni (0.0000, 0.0000, 0.0000)  6 Pt 2.50
Ni (0.3333, 0.6667, 0.6667)  6 Pt 2.50
Ni (0.6667, 0.3333, 0.3333)  6 Pt 2.50
Te (0.0000, 0.0000, 0.5000)  6 Pt 2.78
Te (0.3333, 0.6667, 0.1667)  6 Pt 2.78
Te (0.6667, 0.3333, 0.8333)  6 Pt 2.78
Pt (0.0000, 0.0000, 0.2680)  3 Ni 2.50, 3 Te 2.78
Pt (0.0000, 0.0000, 0.7320)  3 Ni 2.50, 3 Te 2.78
Pt (0.3333, 0.6667, 0.3987)  3 Ni 2.50, 3 Te 2.78
Pt (0.3333, 0.6667, 0.9346)  3 Ni 2.50, 3 Te 2.78
Pt (0.6667, 0.3333, 0.0654)  3 Ni 2.50, 3 Te 2.78
Pt (0.6667, 0.3333, 0.6013)  3 Ni 2.50, 3 Te 2.78

Properties
Space group: No. 166
Calculated density: 13.5 g cm⁻³

---

Stability summary - winner: three; margin: 27 meV per atom.

---

--- one ---
Compound: NiTePt2
Source: Alexandria
Functional: PBE
Structure: optimized geometry

Lattice parameters (Å, degrees): 6.4145 6.4145 6.4145 90.00 90.00 90.00
Closest atoms and distances in Å follow each position.
Fractional positions:
Ni (0.0000, 0.0000, 0.0000)  8 Pt 2.78
Ni (0.0000, 0.5000, 0.5000)  8 Pt 2.78
Ni (0.5000, 0.0000, 0.5000)  8 Pt 2.78
Ni (0.5000, 0.5000, 0.0000)  8 Pt 2.78
Te (0.0000, 0.0000, 0.5000)  8 Pt 2.78
Te (0.0000, 0.5000, 0.0000)  8 Pt 2.78
Te (0.5000, 0.0000, 0.0000)  8 Pt 2.78
Te (0.5000, 0.5000, 0.5000)  8 Pt 2.78
Pt (0.2500, 0.2500, 0.2500)  4 Te 2.78, 4 Ni 2.78
Pt (0.2500, 0.2500, 0.7500)  4 Te 2.78, 4 Ni 2.78
Pt (0.2500, 0.7500, 0.2500)  4 Te 2.78, 4 Ni 2.78
Pt (0.2500, 0.7500, 0.7500)  4 Te 2.78, 4 Ni 2.78
Pt (0.7500, 0.2500, 0.2500)  4 Te 2.78, 4 Ni 2.78
Pt (0.7500, 0.2500, 0.7500)  4 Te 2.78, 4 Ni 2.78
Pt (0.7500, 0.7500, 0.2500)  4 Te 2.78, 4 Ni 2.78
Pt (0.7500, 0.7500, 0.7500)  4 Te 2.78, 4 Ni 2.78

Properties
Space group: No. 225
Calculated density: 14.5 g cm⁻³

---

--- two ---
Compound: NiTePt2
Source: Alexandria
Functional: PBE
Structure: optimized geometry

Lattice parameters (Å, degrees): 5.3888 5.5132 9.3083 90.00 90.00 90.00
Closest atoms and distances in Å follow each position.
Fractional positions:
Ni (0.0000, 0.0000, 0.0000)  4 Te 2.69-2.76, 4 Pt 2.70
Ni (0.0000, 0.5000, 0.5000)  4 Te 2.69-2.76, 4 Pt 2.70
Ni (0.5000, 0.0000, 0.5000)  4 Te 2.69-2.76, 4 Pt 2.70
Ni (0.5000, 0.5000, 0.0000)  4 Te 2.69-2.76, 4 Pt 2.70
Te (0.0000, 0.0000, 0.5000)  4 Ni 2.69-2.76, 4 Pt 2.70
Te (0.0000, 0.5000, 0.0000)  4 Ni 2.69-2.76, 4 Pt 2.70
Te (0.5000, 0.0000, 0.0000)  4 Ni 2.69-2.76, 4 Pt 2.70
Te (0.5000, 0.5000, 0.5000)  4 Ni 2.69-2.76, 4 Pt 2.70
Pt (0.0000, 0.2500, 0.2500)  4 Pt 2.69-2.76, 2 Te 2.70, 2 Ni 2.70
Pt (0.0000, 0.2500, 0.7500)  4 Pt 2.69-2.76, 2 Te 2.70, 2 Ni 2.70
Pt (0.0000, 0.7500, 0.2500)  4 Pt 2.69-2.76, 2 Te 2.70, 2 Ni 2.70
Pt (0.0000, 0.7500, 0.7500)  4 Pt 2.69-2.76, 2 Te 2.70, 2 Ni 2.70
Pt (0.5000, 0.2500, 0.2500)  4 Pt 2.69-2.76, 2 Te 2.70, 2 Ni 2.70
Pt (0.5000, 0.2500, 0.7500)  4 Pt 2.69-2.76, 2 Te 2.70, 2 Ni 2.70
Pt (0.5000, 0.7500, 0.2500)  4 Pt 2.69-2.76, 2 Te 2.70, 2 Ni 2.70
Pt (0.5000, 0.7500, 0.7500)  4 Pt 2.69-2.76, 2 Ni 2.70, 2 Te 2.70

Properties
Space group: No. 69
Calculated density: 13.8 g cm⁻³

---

Stability summary - winner: two; margin: 54 meV per atom.